## SmTh3N4 (PBE-GGA)

Data for an optimized crystal structure of SmTh3N4.

Output
Formation energy (no corrections) = -1.562 eV/atom
E_tot = -72.77 eV/cell
SG = No. 221
Energy above the most stable polymorph in this dataset = 0.0000 eV/atom
Magnetization = 0.0 Bohr magnetons per cell

Lattice parameters (Å, degrees): 5.1511 5.1511 5.1511 90.00 90.00 90.00
Closest atoms and distances in Å follow each position.
Element x y z (fractional)
Th 0.5000 0.0000 0.5000  6 N 2.58
Th 0.0000 0.5000 0.5000  6 N 2.58
Th 0.5000 0.5000 0.0000  6 N 2.58
N 0.0000 0.0000 0.5000  4 Th 2.58, 2 Sm 2.58
N 0.5000 0.0000 0.0000  4 Th 2.58, 2 Sm 2.58
N 0.5000 0.5000 0.5000  6 Th 2.58
N 0.0000 0.5000 0.0000  4 Th 2.58, 2 Sm 2.58
Sm 0.0000 0.0000 0.0000  6 N 2.58



## CsCd2O2 (PBE-GGA)

Data for an optimized crystal structure of CsCd2O2.

Output
Formation energy (no corrections) = -0.769 eV/atom
E_tot = -16.44 eV/cell
SG = No. 139
Energy above the most stable polymorph in this dataset = 0.0447 eV/atom
Magnetization = 0.0 Bohr magnetons per cell

Lattice parameters (Å, degrees): 4.4255 4.4255 6.3230 69.52 69.52 90.00
Closest atoms and distances in Å follow each position.
Element x y z (fractional)
Cd 0.6840 0.6840 0.6319  4 O 2.33
Cd 0.3160 0.3160 0.3681  4 O 2.33
O 0.7500 0.2500 0.5000  4 Cd 2.33
O 0.2500 0.7500 0.5000  4 Cd 2.33
Cs 0.0000 0.0000 0.0000  10 Cd 3.47-3.73, 8 O 3.53



## YAlTeI2 (PBE-GGA)

Data for an optimized crystal structure of YAlTeI2.

Output
Formation energy (no corrections) = -0.186 eV/atom
E_tot = -17.38 eV/cell
SG = No. 123
Energy above the most stable polymorph in this dataset = 0.3503 eV/atom
Magnetization = 0.6 Bohr magnetons per cell

Lattice parameters (Å, degrees): 5.4459 5.4459 5.5280 90.00 90.00 90.00
Closest atoms and distances in Å follow each position.
Element x y z (fractional)
Y 0.5000 0.5000 0.5000  4 Te 3.85, 8 I 3.88
I 0.5000 0.0000 0.0000  2 Al 2.72
I 0.0000 0.5000 0.0000  2 Al 2.72
Te 0.0000 0.0000 0.5000  2 Al 2.76
Al 0.0000 0.0000 0.0000  4 I 2.72, 2 Te 2.76



## Ba3LiIrRuO9 (PBE-GGA)

Data for an optimized crystal structure of Ba3LiIrRuO9.

Output
Formation energy (no corrections) = -1.818 eV/atom
E_tot = -195.42 eV/cell
SG = No. 186
Magnetization = 6.7 Bohr magnetons per cell

Lattice parameters (Å, degrees): 5.8798 5.8798 14.2312 90.00 90.00 120.00
Closest atoms and distances in Å follow each position.
Element x y z (fractional)
O 0.3520 0.1760 0.5867  1 Ir 1.92
O 0.1760 0.3520 0.0867  1 Ir 1.92
O 0.8240 0.1760 0.5867  1 Ir 1.92
O 0.4920 0.5080 0.2489  1 Ir 2.04, 1 Ru 2.09
O 0.1760 0.8240 0.0867  1 Ir 1.92
O 0.1761 0.3522 0.4128  1 Ru 1.89
O 0.5080 0.0161 0.7489  1 Ir 2.04, 1 Ru 2.09
O 0.3522 0.1761 0.9128  1 Ru 1.89
O 0.8239 0.6478 0.9128  1 Ru 1.89
O 0.6478 0.8239 0.4128  1 Ru 1.89
O 0.0161 0.5080 0.2489  1 Ir 2.04, 1 Ru 2.09
O 0.1761 0.8239 0.4128  1 Ru 1.89
O 0.4920 0.9839 0.2489  1 Ir 2.04, 1 Ru 2.09
O 0.9839 0.4920 0.7489  1 Ir 2.04, 1 Ru 2.09
O 0.6480 0.8240 0.0867  1 Ir 1.92
O 0.8240 0.6480 0.5867  1 Ir 1.92
O 0.8239 0.1761 0.9128  1 Ru 1.89
O 0.5080 0.4920 0.7489  1 Ir 2.04, 1 Ru 2.09
Li 0.0000 0.0000 0.0006  6 O 2.17-2.19
Li 0.0000 0.0000 0.5006  6 O 2.17-2.19
Ba 0.6667 0.3333 0.4143  12 O 2.93-2.95
Ba 0.0000 0.0000 0.2499  12 O 2.93-2.94
Ba 0.3333 0.6667 0.9143  12 O 2.93-2.95
Ba 0.6667 0.3333 0.0870  12 O 2.91-2.95
Ba 0.0000 0.0000 0.7499  12 O 2.93-2.94
Ba 0.3333 0.6667 0.5870  12 O 2.91-2.95
Ru 0.3333 0.6667 0.3417  6 O 1.89-2.09
Ru 0.6667 0.3333 0.8417  6 O 1.89-2.09
Ir 0.6667 0.3333 0.6616  6 O 1.92-2.04
Ir 0.3333 0.6667 0.1616  6 O 1.92-2.04



## AgHgTe2 (PBE-GGA)

Data for an optimized crystal structure of AgHgTe2.

Output
Formation energy (no corrections) = 0.029 eV/atom
E_tot = -9.32 eV/cell
SG = No. 12
Magnetization = 0.0 Bohr magnetons per cell

Lattice parameters (Å, degrees): 5.1501 5.2720 5.4056 68.22 73.15 109.86
Closest atoms and distances in Å follow each position.
Element x y z (fractional)
Ag 0.0000 0.5000 0.5000  4 Te 2.99, 2 Hg 3.15
Hg 0.5000 0.5000 0.0000  4 Te 2.99, 2 Ag 3.15
Te 0.0000 0.0000 0.0000  2 Hg 2.99, 2 Ag 2.99, 2 Te 3.15
Te 0.5000 0.0000 0.5000  2 Ag 2.99, 2 Hg 2.99, 2 Te 3.15



## UICl2 (PBE-GGA)

Data for an optimized crystal structure of UICl2.

Output
Formation energy (no corrections) = -1.324 eV/atom
E_tot = -21.83 eV/cell
SG = No. 10
Energy above the most stable polymorph in this dataset = 0.0513 eV/atom
Magnetization = 3.0 Bohr magnetons per cell

Lattice parameters (Å, degrees): 4.2077 6.9752 6.2393 116.25 90.00 90.00
Closest atoms and distances in Å follow each position.
Element x y z (fractional)
I 0.5000 0.5000 0.7500  2 U 3.12
U 0.5000 0.5000 0.2500  4 Cl 2.76
Cl 0.0000 0.2152 0.1057  2 U 2.76
Cl 0.0000 0.7848 0.3943  2 U 2.76



## BaMgZr2Ga (PBE-GGA)

Data for an optimized crystal structure of BaMgZr2Ga.

Output
ΔE_f = 1.556 eV/atom
E_tot = -15.86 eV/cell
SG = No. 123
Magnetization = 0.0 Bohr magnetons per cell

Lattice parameters (Å, degrees): 5.3855 5.6092 5.3855 90.00 90.00 90.00
Closest atoms and distances in Å follow each position.
Element x y z (fractional)
Zr 0.0000 0.0000 0.5000  2 Ba 2.69
Zr 0.5000 0.0000 0.0000  2 Ba 2.69
Ga 0.0000 0.5000 0.0000  2 Ba 2.80
Ba 0.0000 0.0000 0.0000  4 Zr 2.69, 2 Ga 2.80
Mg 0.5000 0.5000 0.5000  4 Ga 3.81, 8 Zr 3.89



## BaNaHg2 (PBE-GGA)

Data for an optimized crystal structure of BaNaHg2.

Output
ΔE_f = -0.329 eV/atom
E_tot = -5.16 eV/cell
SG = No. 123
Energy above the most stable polymorph in this dataset = 0.0645 eV/atom
Magnetization = 0.0 Bohr magnetons per cell

Lattice parameters (Å, degrees): 4.3860 5.5197 5.5197 90.00 90.00 90.00
Closest atoms and distances in Å follow each position.
Element x y z (fractional)
Hg 0.0000 0.0000 0.5000  4 Ba 3.53, 4 Na 3.53, 4 Hg 3.90
Hg 0.0000 0.5000 0.0000  4 Ba 3.53, 4 Na 3.53, 4 Hg 3.90
Na 0.5000 0.0000 0.0000  8 Hg 3.53, 4 Ba 3.90
Ba 0.5000 0.5000 0.5000  8 Hg 3.53, 4 Na 3.90